DFT (PBE with a Hubbard U) results for crystalline Co2HgF at its relaxed geometry.

Properties
Energy relative to the lowest polymorph listed for this composition in eV/f.u.: 0.28

Cell lengths 4.4419, 4.4419, 4.4419 Å; angles 60.00, 60.00, 60.00 degrees
Closest atoms and distances in Å follow each position.
Element x y z (fractional)
Co1 0.7500 0.7500 0.7500  4 Hg 2.72, 4 F 2.72
Co2 0.2500 0.2500 0.2500  4 Hg 2.72, 4 F 2.72
F1 0.0000 0.0000 0.0000  8 Co 2.72
Hg1 0.5000 0.5000 0.5000  8 Co 2.72